CrPdN2F: relaxed, PBE+U.

Calculated values
- Energy above the most stable polymorph in this dataset: 0 meV per atom
- Calculated volume: 11.36 Å³/atom

Lattice parameters (Å, degrees): 3.857 3.857 3.819 90.00 90.00 90.00
Atoms (fractional coordinates):
Cr 0.000 0.000 0.000
Pd 0.500 0.500 0.500
N 0.000 0.500 0.000
N 0.500 0.000 0.000
F 0.000 0.000 0.500